No. 1
The following is a GGA-PBE calculation of an optimized crystal structure of SrScBe3, from Alexandria via LeMat-Bulk.

**Energy above the lowest structure with this stoichiometry**: 0.7582 eV/atom
**V**: 114.6 Å³/cell

Cell lengths 4.8578, 4.8578, 4.8578 Å; angles 90.00, 90.00, 90.00 degrees
With the nearest neighbours (Å) after each atom.
Fractional positions:
Sr (0.0000, 0.0000, 0.0000)  6 Be 2.43
Sc (0.5000, 0.5000, 0.5000)  12 Be 3.44
Be (0.0000, 0.0000, 0.5000)  2 Sr 2.43
Be (0.0000, 0.5000, 0.0000)  2 Sr 2.43
Be (0.5000, 0.0000, 0.0000)  2 Sr 2.43

***

No. 2
The following is a GGA-PBE calculation of an optimized crystal structure of SrScBe, from Alexandria via LeMat-Bulk.

**Energy above the lowest structure with this stoichiometry**: 0.0000 eV/atom
**V**: 76.2 Å³/cell

Cell lengths 6.7991, 6.7991, 6.7991 Å; angles 150.46, 150.46, 42.26 degrees
With the nearest neighbours (Å) after each atom.
Fractional positions:
Sr (0.0000, 0.0000, 0.0000)  4 Be 3.28, 1 Sc 3.35, 4 Sr 3.47
Sc (0.2644, 0.2644, 0.0000)  4 Be 2.72
Be (0.6715, 0.6715, 0.0000)  4 Sc 2.72

***

No. 3
The following is a GGA-PBE calculation of an optimized crystal structure of SrScBe3, from Alexandria via LeMat-Bulk.

**Energy above the lowest structure with this stoichiometry**: 0.0000 eV/atom
**V**: 120.4 Å³/cell

Cell lengths 4.9381, 4.9381, 4.9381 Å; angles 90.00, 90.00, 90.00 degrees
With the nearest neighbours (Å) after each atom.
Fractional positions:
Sr (0.0000, 0.0000, 0.0000)  12 Be 3.49
Sc (0.5000, 0.5000, 0.5000)  6 Be 2.47
Be (0.0000, 0.5000, 0.5000)  2 Sc 2.47
Be (0.5000, 0.0000, 0.5000)  2 Sc 2.47
Be (0.5000, 0.5000, 0.0000)  2 Sc 2.47

***

No. 4
The following is a GGA-PBE calculation of an optimized crystal structure of SrScBeZn2, from Alexandria via LeMat-Bulk.

**V**: 170.7 Å³/cell
**E_tot**: -1.715 eV per atom

Cell lengths 5.1740, 5.1740, 6.3780 Å; angles 90.00, 90.00, 90.00 degrees
With the nearest neighbours (Å) after each atom.
Fractional positions:
Sr (0.0000, 0.0000, 0.0000)  2 Sc 3.19
Sc (0.0000, 0.0000, 0.5000)  4 Zn 2.59
Be (0.5000, 0.5000, 0.0000)  4 Sr 3.66
Zn (0.0000, 0.5000, 0.5000)  2 Sc 2.59
Zn (0.5000, 0.0000, 0.5000)  2 Sc 2.59

***

No. 5
The following is a GGA-PBE calculation of an optimized crystal structure of SrZrScBe2, from Alexandria via LeMat-Bulk.

**V**: 126.3 Å³/cell
**E_tot**: -3.922 eV per atom

Cell lengths 5.0398, 5.0398, 4.9740 Å; angles 90.00, 90.00, 90.00 degrees
With the nearest neighbours (Å) after each atom.
Fractional positions:
Sr (0.0000, 0.0000, 0.0000)  8 Be 3.54, 4 Sc 3.56
Zr (0.5000, 0.5000, 0.5000)  2 Sc 2.49, 4 Be 2.52
Sc (0.5000, 0.5000, 0.0000)  2 Zr 2.49
Be (0.0000, 0.5000, 0.5000)  2 Zr 2.52
Be (0.5000, 0.0000, 0.5000)  2 Zr 2.52

***

No. 6
The following is a GGA-PBE calculation of an optimized crystal structure of Sc2TaBe, from Alexandria via LeMat-Bulk.

**V**: 75.1 Å³/cell
**E_tot**: -6.750 eV per atom

Cell lengths 5.0156, 5.0156, 3.0346 Å; angles 90.00, 90.00, 100.46 degrees
With the nearest neighbours (Å) after each atom.
Fractional positions:
Sc (0.0000, 0.5000, 0.0000)  4 Ta 2.93, 4 Be 2.93, 4 Sc 3.03-3.21
Sc (0.5000, 0.0000, 0.0000)  4 Ta 2.93, 4 Be 2.93, 4 Sc 3.03-3.21
Ta (0.0000, 0.0000, 0.5000)  8 Sc 2.93, 2 Ta 3.03, 2 Be 3.21
Be (0.5000, 0.5000, 0.5000)  8 Sc 2.93, 2 Be 3.03, 2 Ta 3.21

***

No. 7
The following is a GGA-PBE calculation of an optimized crystal structure of ScTaBe3, from Alexandria via LeMat-Bulk.

**Energy above the lowest structure with this stoichiometry**: 0.0000 eV/atom
**V**: 86.5 Å³/cell

Cell lengths 4.4228, 4.4228, 4.4228 Å; angles 90.00, 90.00, 90.00 degrees
With the nearest neighbours (Å) after each atom.
Fractional positions:
Sc (0.0000, 0.0000, 0.0000)  12 Be 3.13
Ta (0.5000, 0.5000, 0.5000)  6 Be 2.21
Be (0.0000, 0.5000, 0.5000)  2 Ta 2.21
Be (0.5000, 0.0000, 0.5000)  2 Ta 2.21
Be (0.5000, 0.5000, 0.0000)  2 Ta 2.21

***

No. 8
The following is a GGA-PBE calculation of an optimized crystal structure of Sc3TaBe, from Alexandria via LeMat-Bulk.

**Energy above the lowest structure with this stoichiometry**: 0.0000 eV/atom
**V**: 106.4 Å³/cell

Cell lengths 4.7392, 4.7392, 4.7392 Å; angles 90.00, 90.00, 90.00 degrees
With the nearest neighbours (Å) after each atom.
Fractional positions:
Sc (0.0000, 0.0000, 0.5000)  2 Be 2.37
Sc (0.0000, 0.5000, 0.0000)  2 Be 2.37
Sc (0.5000, 0.0000, 0.0000)  2 Be 2.37
Ta (0.5000, 0.5000, 0.5000)  12 Sc 3.35
Be (0.0000, 0.0000, 0.0000)  6 Sc 2.37

***

No. 9
The following is a GGA-PBE calculation of an optimized crystal structure of Sc2TaBe, from Alexandria via LeMat-Bulk.

**V**: 71.9 Å³/cell
**E_tot**: -6.817 eV per atom

Cell lengths 4.1348, 4.1348, 4.2085 Å; angles 90.00, 90.00, 90.00 degrees
With the nearest neighbours (Å) after each atom.
Fractional positions:
Sc (0.0000, 0.5000, 0.0000)  4 Sc 2.92, 4 Be 2.95, 4 Ta 2.95
Sc (0.5000, 0.0000, 0.0000)  4 Sc 2.92, 4 Be 2.95, 4 Ta 2.95
Ta (0.0000, 0.0000, 0.5000)  4 Be 2.92, 8 Sc 2.95
Be (0.5000, 0.5000, 0.5000)  4 Ta 2.92, 8 Sc 2.95

***

No. 10
The following is a GGA-PBE calculation of an optimized crystal structure of Sc2TaBe, from Alexandria via LeMat-Bulk.

**V**: 71.9 Å³/cell
**E_tot**: -6.819 eV per atom

Cell lengths 5.1580, 5.1580, 5.1580 Å; angles 133.09, 133.09, 68.52 degrees
With the nearest neighbours (Å) after each atom.
Fractional positions:
Sc (0.2500, 0.7500, 0.5000)  4 Sc 2.90, 4 Be 2.96, 4 Ta 2.96
Sc (0.7500, 0.2500, 0.5000)  4 Sc 2.90, 4 Be 2.96, 4 Ta 2.96
Ta (0.0000, 0.0000, 0.0000)  4 Be 2.90, 8 Sc 2.96
Be (0.5000, 0.5000, 0.0000)  4 Ta 2.90, 8 Sc 2.96

***

No. 11
The following is a GGA-PBE calculation of an optimized crystal structure of ScTaBe17, from Alexandria via LeMat-Bulk.

**V**: 172.4 Å³/cell
**E_tot**: -4.487 eV per atom

Cell lengths 5.6045, 5.6045, 5.6045 Å; angles 82.96, 82.96, 82.96 degrees
With the nearest neighbours (Å) after each atom.
Fractional positions:
Sc (0.0000, 0.0000, 0.0000)  19 Be 2.63-2.87
Ta (0.3249, 0.3249, 0.3249)  19 Be 2.57-2.84
Be (0.0083, 0.0083, 0.5005)  9 Be 2.13-2.35
Be (0.0083, 0.5005, 0.0083)  9 Be 2.13-2.35
Be (0.1631, 0.6580, 0.6580)  10 Be 2.10-2.29
Be (0.3181, 0.3181, 0.8204)  9 Be 2.13-2.31
Be (0.3181, 0.8204, 0.3181)  9 Be 2.13-2.31
Be (0.3714, 0.6608, 0.9531)  8 Be 2.10-2.30
Be (0.3714, 0.9531, 0.6608)  8 Be 2.10-2.30
Be (0.5005, 0.0083, 0.0083)  9 Be 2.13-2.35
Be (0.5624, 0.5624, 0.5624)  7 Be 2.11-2.31
Be (0.6580, 0.1631, 0.6580)  10 Be 2.10-2.29
Be (0.6580, 0.6580, 0.1631)  10 Be 2.10-2.29
Be (0.6608, 0.3714, 0.9531)  8 Be 2.10-2.30
Be (0.6608, 0.9531, 0.3714)  8 Be 2.10-2.30
Be (0.7574, 0.7574, 0.7574)  7 Be 2.11-2.35
Be (0.8204, 0.3181, 0.3181)  9 Be 2.13-2.31
Be (0.9531, 0.3714, 0.6608)  8 Be 2.10-2.30
Be (0.9531, 0.6608, 0.3714)  8 Be 2.10-2.30

***

No. 12
The following is a GGA-PBE calculation of an optimized crystal structure of Sc2TaBe, from Alexandria via LeMat-Bulk.

**V**: 72.4 Å³/cell
**E_tot**: -6.800 eV per atom

Cell lengths 5.1957, 5.1957, 5.1957 Å; angles 133.54, 133.54, 67.80 degrees
With the nearest neighbours (Å) after each atom.
Fractional positions:
Sc (0.0000, 0.0000, 0.0000)  4 Be 2.90, 4 Sc 2.97, 4 Ta 2.97
Sc (0.7500, 0.2500, 0.5000)  4 Ta 2.90, 4 Be 2.97, 4 Sc 2.97
Ta (0.2500, 0.7500, 0.5000)  8 Sc 2.90-2.97, 4 Be 2.97
Be (0.5000, 0.5000, 0.0000)  8 Sc 2.90-2.97, 4 Ta 2.97

***

No. 13
The following is a GGA-PBE calculation of an optimized crystal structure of Sc2TaBe, from Alexandria via LeMat-Bulk.

**V**: 72.9 Å³/cell
**E_tot**: -6.973 eV per atom

Cell lengths 3.0545, 3.0545, 7.8100 Å; angles 90.00, 90.00, 90.00 degrees
With the nearest neighbours (Å) after each atom.
Fractional positions:
Sc (0.0000, 0.0000, 0.2181)  4 Be 2.75, 4 Sc 3.05
Sc (0.0000, 0.0000, 0.7819)  4 Be 2.75, 4 Sc 3.05
Ta (0.5000, 0.5000, 0.5000)  4 Ta 3.05, 8 Sc 3.08
Be (0.5000, 0.5000, 0.0000)  8 Sc 2.75, 4 Be 3.05

***

No. 14
The following is a GGA-PBE calculation of an optimized crystal structure of ScTaBe3, from Alexandria via LeMat-Bulk.

**Energy above the lowest structure with this stoichiometry**: 0.5534 eV/atom
**V**: 73.5 Å³/cell

Cell lengths 4.1880, 4.1880, 4.1880 Å; angles 90.00, 90.00, 90.00 degrees
With the nearest neighbours (Å) after each atom.
Fractional positions:
Sc (0.0000, 0.0000, 0.0000)  6 Be 2.09
Ta (0.5000, 0.5000, 0.5000)  12 Be 2.96
Be (0.0000, 0.0000, 0.5000)  2 Sc 2.09
Be (0.0000, 0.5000, 0.0000)  2 Sc 2.09
Be (0.5000, 0.0000, 0.0000)  2 Sc 2.09

***

Number 1: total magnetization 0.000 μB per atom. Number 2: total magnetization 0.068 μB per atom. Number 3: total magnetization 0.000 μB per atom. Number 4: total magnetization 0.000 μB per atom. Number 5: total magnetization 0.000 μB per atom. Number 6: total magnetization 0.000 μB per atom. Number 7: total magnetization 0.000 μB per atom. Number 8: total magnetization 0.000 μB per atom. Number 9: total magnetization 0.000 μB per atom. Number 10: total magnetization 0.000 μB per atom. Number 11: total magnetization 0.000 μB per atom. Number 12: total magnetization 0.000 μB per atom. Number 13: total magnetization 0.000 μB per atom. Number 14: total magnetization 0.392 μB per atom.